Computed, not measured: a geometry-optimized Mn2FeF5 structure at the GGA+U level of DFT.

Cell: 6.1673 6.1673 8.5092 Å, 62.54 62.54 85.32°
Last column: nearest neighbours and their distance in Å.
Element x y z (fractional)
Mn1 0.5000 0.5000 0.5000  6 F 2.13-2.34
Mn2 0.5000 0.5000 0.0000  6 F 2.13-2.34
Mn3 0.0000 0.5000 0.5000  6 F 2.15-2.21
Mn4 0.5000 0.0000 0.0000  6 F 2.15-2.21
Fe1 0.1673 0.8327 0.7500  4 F 2.02-2.15
Fe2 0.8327 0.1673 0.2500  4 F 2.02-2.15
F1 0.8184 0.2929 0.4353  1 Fe 2.02, 2 Mn 2.15-2.24
F2 0.7728 0.8129 0.8624  2 Mn 2.13-2.16, 1 Fe 2.15
F3 0.3848 0.6152 0.2500  4 Mn 2.21-2.34
F4 0.2272 0.1871 0.1376  2 Mn 2.13-2.16, 1 Fe 2.15
F5 0.1816 0.7071 0.5647  1 Fe 2.02, 2 Mn 2.15-2.24
F6 0.6152 0.3848 0.7500  4 Mn 2.21-2.34
F7 0.1871 0.2272 0.6376  2 Mn 2.13-2.16, 1 Fe 2.15
F8 0.8129 0.7728 0.3624  2 Mn 2.13-2.16, 1 Fe 2.15
F9 0.2929 0.8184 0.9353  1 Fe 2.02, 2 Mn 2.15-2.24
F10 0.7071 0.1816 0.0647  1 Fe 2.02, 2 Mn 2.15-2.24

crystal system	monoclinic
raw total energy	-5.9215	eV/atom
spin magnetization	27.54	μB per cell
SG	C2/c (15)
Fermi-level density of states	2.11	states/eV/cell